The following is a DFT calculation (PBE) of crystalline PmTh2Mn at its relaxed geometry.

a = 3.7620 Å, b = 3.7620 Å, c = 30.1444 Å
α = 90.00°, β = 90.00°, γ = 120.00°
Space group R-3m (No. 166, hexagonal axes)
Unique sites:
Pm: 0.0000 0.0000 0.0000
Th: 0.0000 0.0000 0.1148
Mn: 0.0000 0.0000 0.5000

Summary:
Calculated formation energy ... 39.2 kJ/mol of atoms
E ... -6.7836 eV/atom
ΔE to the lowest computed polymorph ... 242 meV/atom

The following is a DFT calculation (PBE) of crystalline NbCr2AgH at its relaxed geometry.

a = 4.990 Å, b = 4.990 Å, c = 5.126 Å
α = 90.00°, β = 90.00°, γ = 90.00°
Space group P4/mmm (No. 123)
Unique sites:
Nb: 0.000 0.000 0.000
Cr: 0.000 0.500 0.500
Ag: 0.000 0.000 0.500
H: 0.500 0.500 0.000

Summary:
E ... -5.0149 eV/atom

The following is a DFT calculation (PBE) of crystalline Dy2ErAu at its relaxed geometry.

a = 4.907 Å, b = 11.819 Å, c = 7.816 Å
α = 90.00°, β = 90.00°, γ = 90.00°
Space group Cmcm (No. 63)
Unique sites:
Dy: 0.000 0.143 0.035
Er: 0.000 0.458 0.250
Au: 0.000 0.296 0.750

Summary:
Calculated formation energy ... -38.2 kJ/mol of atoms
E ... -4.6569 eV/atom
ΔE to the lowest computed polymorph ... 55 meV/atom

The following is a DFT calculation (PBE) of crystalline AcSnTe at its relaxed geometry.

a = 4.421 Å, b = 4.421 Å, c = 10.861 Å
α = 90.00°, β = 90.00°, γ = 90.00°
Space group I4mm (No. 107)
Unique sites:
Ac: 0.000 0.000 0.000
Sn: 0.000 0.000 0.652
Te: 0.000 0.000 0.372

Summary:
E ... -4.4635 eV/atom
ΔE to the lowest computed polymorph ... 332 meV/atom

The following is a DFT calculation (PBE) of crystalline La2AlHgOs at its relaxed geometry.

a = 5.544 Å, b = 5.544 Å, c = 4.869 Å
α = 90.00°, β = 90.00°, γ = 90.00°
Space group P4/mmm (No. 123)
Unique sites:
La: 0.000 0.500 0.000
Al: 0.000 0.000 0.500
Hg: 0.500 0.500 0.500
Os: 0.000 0.000 0.000

Summary:
Calculated formation energy ... -26.3 kJ/mol of atoms
E ... -5.2984 eV/atom

The following is a DFT calculation (PBE) of crystalline ErScNiHg at its relaxed geometry.

a = 6.913 Å, b = 6.913 Å, c = 6.913 Å
α = 90.00°, β = 90.00°, γ = 90.00°
Space group F-43m (No. 216)
Unique sites:
Er: 0.000 0.000 0.000
Sc: 0.000 0.000 0.500
Ni: 0.250 0.250 0.750
Hg: 0.250 0.250 0.250

Summary:
Calculated formation energy ... -35.0 kJ/mol of atoms
E ... -4.6075 eV/atom